Below is an optimized crystal structure of Cd2Cu, with properties calculated at the PBE-GGA level.

Calculated values
energy relative to the elements	0.1001	eV/atom
space-group type	Cmmm
ρ	8764	kg/m³

a b c (Å): 6.716 6.716 3.979
angles (deg): 90.00 90.00 142.49
Atoms (fractional coordinates):
Cu1 0.331 0.669 0.000
Cu2 0.669 0.331 0.000
Cd1 0.500 0.500 0.500
Cd2 0.174 0.826 0.500
Cd3 0.826 0.174 0.500
Cd4 0.000 0.000 0.000

***

Below is an optimized crystal structure of Li2B3C3, with properties calculated at the PBE-GGA level.

Calculated values
energy relative to the elements	-0.1645	eV/atom
space-group type	R-3
energy above the lowest structure with this stoichiometry	0.10	eV/f.u.
ρ	1948	kg/m³

a b c (Å): 7.783 7.783 7.783
angles (deg): 35.27 35.27 35.27
Atoms (fractional coordinates):
C1 0.753 0.085 0.422
C2 0.248 0.912 0.580
C3 0.580 0.248 0.912
C4 0.085 0.422 0.753
C5 0.912 0.580 0.248
C6 0.422 0.753 0.085
Li1 0.667 0.667 0.667
Li2 0.833 0.833 0.833
Li3 0.167 0.167 0.167
Li4 0.500 0.500 0.500
B1 0.417 0.087 0.752
B2 0.087 0.752 0.417
B3 0.581 0.916 0.246
B4 0.916 0.246 0.581
B5 0.752 0.417 0.087
B6 0.246 0.581 0.916